Entry 1:
PBE-GGA K3Cd4Hg, optimized geometry; space-group type = No. 44; ΔE_f = -0.82 eV per formula unit
1.0
-3.763 -1.533 4.713
-6.079 0.152 -4.805
5.718 -4.911 -1.140
K Cd Hg
3 4 1
direct
0.436 0.195 0.871
0.436 0.676 0.871
0.096 0.096 0.192
0.752 0.441 0.504
0.957 0.700 0.399
0.752 0.063 0.504
0.443 0.700 0.399
0.978 0.478 0.957

---

Entry 2:
PBE-GGA KCdHg5, optimized geometry; space-group type = No. 123; distance to the lowest polymorph of the same formula = 8 meV/atom; ΔE_f = -0.70 eV per formula unit
1.0
-3.014 0.609 3.229
-0.807 -4.385 0.074
7.694 -1.290 7.424
Hg Cd K
5 1 1
direct
0.500 0.500 0.000
0.500 0.000 0.244
0.000 0.500 0.244
0.000 0.500 0.756
0.500 0.000 0.756
0.000 0.000 0.000
0.000 0.000 0.500

---

Entry 3:
PBE-GGA K4Cd2Hg, optimized geometry; space-group type = No. 2; distance to the lowest polymorph of the same formula = 0 meV/atom; ΔE_f = -0.73 eV per formula unit
1.0
7.255 -0.048 2.332
3.157 7.423 2.249
0.066 0.218 10.958
Cd K Hg
4 8 2
direct
0.700 0.268 0.589
0.786 0.875 0.625
0.871 0.482 0.661
0.286 0.375 0.125
0.288 0.152 0.839
0.259 0.107 0.479
0.284 0.598 0.411
0.848 0.142 0.270
0.793 0.658 0.330
0.778 0.092 0.920
0.723 0.608 0.980
0.313 0.643 0.771
0.387 0.975 0.165
0.185 0.775 0.085

---

Entry 4:
PBE-GGA KLiCd2Hg, optimized geometry; space-group type = No. 123; distance to the lowest polymorph of the same formula = 0 meV/atom; ΔE_f = -0.27 eV per formula unit
1.0
-0.816 1.476 4.995
3.246 -3.810 1.656
4.052 3.314 -0.318
K Hg Cd Li
1 1 2 1
direct
0.500 0.500 0.500
0.000 0.000 0.500
0.000 0.500 0.000
0.500 0.000 0.000
0.000 0.000 0.000

---

Entry 5:
PBE-GGA KLiCd2Hg, optimized geometry; space-group type = No. 123; distance to the lowest polymorph of the same formula = 62 meV/atom; ΔE_f = 0.03 eV per formula unit
1.0
5.499 0.000 0.000
0.000 5.499 0.000
0.000 0.000 5.338
Li Cd Hg K
1 2 1 1
direct
0.000 0.000 0.500
0.500 0.000 0.000
0.000 0.500 0.000
0.000 0.000 0.000
0.500 0.500 0.500

---

Entry 6:
PBE-GGA K2LiCdHg6, optimized geometry; space-group type = No. 2; ΔE_f = -1.84 eV per formula unit
1.0
-5.123 4.308 -4.010
2.376 -3.101 -6.355
-5.343 -3.078 -4.753
Hg K Li Cd
6 2 1 1
direct
0.279 0.165 0.076
0.825 0.758 0.519
0.235 0.716 0.115
0.175 0.242 0.481
0.721 0.835 0.924
0.765 0.284 0.885
0.709 0.291 0.416
0.291 0.709 0.584
0.500 0.500 0.000
0.000 0.000 0.000

---

Entry 7:
PBE-GGA KLiCdHg2, optimized geometry; space-group type = No. 123; distance to the lowest polymorph of the same formula = 0 meV/atom; ΔE_f = -0.63 eV per formula unit
1.0
-2.672 -3.163 3.261
1.081 -4.117 -3.108
4.414 -0.907 2.737
Cd Hg K Li
1 2 1 1
direct
0.000 0.000 0.500
0.000 0.500 0.000
0.500 0.000 0.000
0.500 0.500 0.500
0.000 0.000 0.000

---

Entry 8:
PBE-GGA KLi2CdHg, optimized geometry; space-group type = No. 123; ΔE_f = -0.21 eV per formula unit
1.0
-4.440 2.901 0.637
-0.670 -2.094 4.868
2.933 4.021 2.133
Li Hg Cd K
2 1 1 1
direct
0.500 0.000 0.000
0.000 0.500 0.000
0.000 0.000 0.000
0.000 0.000 0.500
0.500 0.500 0.500

---

Entry 9:
PBE-GGA KLiCdHg2, optimized geometry; space-group type = No. 123; distance to the lowest polymorph of the same formula = 81 meV/atom; ΔE_f = -0.22 eV per formula unit
1.0
-5.319 -0.472 2.045
-0.271 -5.370 -1.945
1.926 -1.764 4.602
Hg Cd Li K
2 1 1 1
direct
0.500 0.000 0.000
0.000 0.500 0.000
0.000 0.000 0.000
0.000 0.000 0.500
0.500 0.500 0.500

---

Entry 10:
PBE-GGA K2LiCd3Hg12, optimized geometry; space-group type = No. 166; ΔE_f = -1.91 eV per formula unit
1.0
12.944 3.614 2.564
9.535 9.471 2.564
9.535 5.550 8.091
Hg K Cd Li
12 2 3 1
direct
0.619 0.112 0.112
0.596 0.596 0.141
0.888 0.888 0.381
0.859 0.404 0.404
0.888 0.381 0.888
0.141 0.596 0.596
0.404 0.404 0.859
0.596 0.141 0.596
0.404 0.859 0.404
0.381 0.888 0.888
0.112 0.112 0.619
0.112 0.619 0.112
0.640 0.640 0.640
0.360 0.360 0.360
0.000 0.500 0.000
0.500 0.000 0.000
0.000 0.000 0.500
0.000 0.000 0.000

---

Entry 11:
PBE-GGA KMgCd2Hg, optimized geometry; space-group type = No. 123; ΔE_f = 0.21 eV per formula unit
1.0
-4.137 0.837 3.604
3.197 -1.912 4.114
1.879 5.189 0.952
Hg Mg K Cd
1 1 1 2
direct
0.000 0.000 0.500
0.000 0.000 0.000
0.500 0.500 0.500
0.500 0.000 0.000
0.000 0.500 0.000

---

Entry 12:
PBE-GGA K2MgCd3Hg12, optimized geometry; space-group type = No. 166; ΔE_f = -1.07 eV per formula unit
1.0
11.007 1.858 1.318
7.052 8.654 1.318
7.052 4.105 7.732
Hg Cd K Mg
12 3 2 1
direct
0.925 0.925 0.352
0.578 0.188 0.578
0.812 0.422 0.422
0.075 0.648 0.075
0.422 0.422 0.812
0.075 0.075 0.648
0.648 0.075 0.075
0.352 0.925 0.925
0.578 0.578 0.188
0.188 0.578 0.578
0.422 0.812 0.422
0.925 0.352 0.925
0.000 0.500 0.000
0.500 0.000 0.000
0.000 0.000 0.500
0.653 0.653 0.653
0.347 0.347 0.347
0.000 0.000 0.000